Density functional theory data (GGA-PBE) for a relaxed structure of MgMn3.

a = 4.795 Å, b = 4.795 Å, c = 4.857 Å
α = 80.03°, β = 80.03°, γ = 33.82°
Fractional coordinates of all 4 atoms:
Mg 0.000 0.000 0.000
Mn 0.244 0.244 0.270
Mn 0.756 0.756 0.730
Mn 0.500 0.500 0.500

Results
Size of the total moment (μB per formula unit): 9.89
ΔE_f (eV/atom): 0.4356

***

Density functional theory data (GGA-PBE) for a relaxed structure of MgMn.

a = 2.932 Å, b = 2.932 Å, c = 9.421 Å
α = 90.00°, β = 90.00°, γ = 120.00°
Fractional coordinates of all 4 atoms:
Mn 0.667 0.333 0.734
Mg 0.667 0.333 0.268
Mg 0.000 0.000 0.982
Mn 0.000 0.000 0.516

Results
Size of the total moment (μB per formula unit): 3.42
ΔE_f (eV/atom): 0.3323

***

Density functional theory data (GGA-PBE) for a relaxed structure of Mg3Mn4.

a = 14.050 Å, b = 14.050 Å, c = 14.050 Å
α = 168.09°, β = 168.09°, γ = 16.87°
Fractional coordinates of all 7 atoms:
Mn 0.573 0.573 0.000
Mn 0.867 0.867 0.000
Mg 0.705 0.705 0.000
Mg 0.000 0.000 0.000
Mg 0.295 0.295 0.000
Mn 0.427 0.427 0.000
Mn 0.133 0.133 0.000

Results
Size of the total moment (μB per formula unit): 13.61
ΔE_f (eV/atom): 0.2825